Record 1
Entry from the Alexandria database: an optimized crystal structure of Cu2OsF (PBE).

Calculated values
M_tot: 2.36 μB/f.u.
offset from the most stable computed form: 13.2 kJ/mol of atoms

Cell: 5.9504 5.9504 5.9504 Å, 90.00 90.00 90.00°
Space group Fm-3m (No. 225)
Asymmetric unit:
Cu: 0.2500 0.2500 0.2500 x8
Os: 0.0000 0.0000 0.0000 x4
F: 0.0000 0.0000 0.5000 x4



Record 2
Entry from the Alexandria database: an optimized crystal structure of CuOsF3 (PBE).

Calculated values
M_tot: 4.50 μB/f.u.
offset from the most stable computed form: 22.1 kJ/mol of atoms

Cell: 4.0603 4.0603 4.0603 Å, 90.00 90.00 90.00°
Space group Pm-3m (No. 221)
Asymmetric unit:
Cu: 0.0000 0.0000 0.0000 x1
Os: 0.5000 0.5000 0.5000 x1
F: 0.0000 0.0000 0.5000 x3



Record 3
Entry from the Alexandria database: an optimized crystal structure of CuOs3F (PBE).

Calculated values
M_tot: 1.66 μB/f.u.
offset from the most stable computed form: 0.0 kJ/mol of atoms

Cell: 4.1775 4.1775 4.1775 Å, 90.00 90.00 90.00°
Space group Pm-3m (No. 221)
Asymmetric unit:
Cu: 0.0000 0.0000 0.0000 x1
Os: 0.0000 0.5000 0.5000 x3
F: 0.5000 0.5000 0.5000 x1



Record 4
Entry from the Alexandria database: an optimized crystal structure of Rb2CuOsF6 (PBE).

Calculated values
M_tot: 1.01 μB/f.u.

Cell: 6.0506 6.0506 8.6066 Å, 90.00 90.00 90.00°
Space group I4/mmm (No. 139)
Asymmetric unit:
Rb: 0.0000 0.5000 0.2500 x4
Cu: 0.0000 0.0000 0.0000 x2
Os: 0.0000 0.0000 0.5000 x2
F: 0.0000 0.0000 0.2593 x4
F: 0.2426 0.2426 0.5000 x8



Record 5
Entry from the Alexandria database: an optimized crystal structure of CuOsS2F (PBE).

Calculated values
M_tot: 0.59 μB/f.u.

Cell: 4.5809 4.5809 3.5123 Å, 90.00 90.00 90.00°
Space group P4/mmm (No. 123)
Asymmetric unit:
Cu: 0.0000 0.0000 0.0000 x1
Os: 0.5000 0.5000 0.5000 x1
S: 0.0000 0.5000 0.0000 x2
F: 0.0000 0.0000 0.5000 x1



Record 6
Entry from the Alexandria database: an optimized crystal structure of ScCuOs2F (PBE).

Calculated values
M_tot: 0.05 μB/f.u.

Cell: 4.2079 4.2079 4.2793 Å, 90.00 90.00 90.00°
Space group P4/mmm (No. 123)
Asymmetric unit:
Sc: 0.0000 0.0000 0.0000 x1
Cu: 0.5000 0.5000 0.0000 x1
Os: 0.0000 0.5000 0.5000 x2
F: 0.5000 0.5000 0.5000 x1



Record 7
Entry from the Alexandria database: an optimized crystal structure of CuSi2OsF (PBE).

Calculated values
M_tot: 0.00 μB/f.u.

Cell: 4.2918 4.2918 4.0526 Å, 90.00 90.00 90.00°
Space group P4/mmm (No. 123)
Asymmetric unit:
Cu: 0.0000 0.0000 0.0000 x1
Si: 0.0000 0.5000 0.5000 x2
Os: 0.5000 0.5000 0.0000 x1
F: 0.5000 0.5000 0.5000 x1



Record 8
Entry from the Alexandria database: an optimized crystal structure of Cu2SiOsF (PBE).

Calculated values
M_tot: 1.35 μB/f.u.

Cell: 4.3900 4.3900 4.4462 Å, 90.00 90.00 90.00°
Space group P4/mmm (No. 123)
Asymmetric unit:
Cu: 0.0000 0.5000 0.0000 x2
Si: 0.0000 0.0000 0.0000 x1
Os: 0.0000 0.0000 0.5000 x1
F: 0.5000 0.5000 0.5000 x1



Calculated uncorrected formation energy, 14.6, -0.9, 41.7, -42.0, 12.6, 15.6, 22.0, 17.2 kcal/mol of atoms (same order as the records).
Calculated N(E_F), 9.60, 5.55, 6.05, 20.98, 4.55, 6.02, 4.14, 2.42 states/eV/cell (same order as the records).
Calculated electronic total energy, -75.0, -21.1, -30.6, -93.4, -22.7, -31.4, -23.3, -23.0 eV for the cell shown (same order as the records).